1.
BaOs4Cl | GGA-PBE | optimized geometry

As for the raw formation energy: 7.283 eV/f.u. The density of states at the Fermi level comes out at 11.702 states/eV/f.u. The total energy comes out at -6.901 eV per atom.

Structure (CIF):
```
data_BaOs4Cl
_cell_length_a 7.758
_cell_length_b 7.758
_cell_length_c 7.758
_cell_angle_alpha 90.00
_cell_angle_beta 90.00
_cell_angle_gamma 90.00
_space_group_name_H-M_alt 'F -4 3 m'
_space_group_IT_number 216
_space_group_name_Hall 'F -4 2 3'
loop_
_atom_site_label
_atom_site_type_symbol
_atom_site_fract_x
_atom_site_fract_y
_atom_site_fract_z
_atom_site_occupancy
Ba1 Ba 0.000 0.000 0.000 1
Os1 Os 0.124 0.124 0.376 1
Cl1 Cl 0.250 0.250 0.750 1
```


2.
BaOs2Cl | GGA-PBE | optimized geometry

As for the raw formation energy: 2.510 eV/f.u. The density of states at the Fermi level comes out at 5.920 states/eV/f.u. The total energy comes out at -5.930 eV per atom.

Structure (CIF):
```
data_BaOs2Cl
_cell_length_a 4.357
_cell_length_b 3.266
_cell_length_c 6.594
_cell_angle_alpha 90.00
_cell_angle_beta 90.17
_cell_angle_gamma 90.00
_space_group_name_H-M_alt 'P 1 2/m 1'
_space_group_IT_number 10
loop_
_space_group_symop_operation_xyz
'x,y,z'
'-x,-y,-z'
'-x,y,-z'
'x,-y,z'
loop_
_atom_site_label
_atom_site_type_symbol
_atom_site_fract_x
_atom_site_fract_y
_atom_site_fract_z
_atom_site_occupancy
Ba1 Ba 0.000 0.000 0.000 1
Os1 Os 0.000 0.500 0.500 1
Os2 Os 0.500 0.000 0.500 1
Cl1 Cl 0.500 0.500 0.000 1
```


3.
BaOs2Cl | GGA-PBE | optimized geometry

As for the raw formation energy: 2.451 eV/f.u. The density of states at the Fermi level comes out at 4.661 states/eV/f.u. The total energy comes out at -5.945 eV per atom.

Structure (CIF):
```
data_BaOs2Cl
_cell_length_a 3.243
_cell_length_b 4.386
_cell_length_c 13.109
_cell_angle_alpha 90.00
_cell_angle_beta 90.00
_cell_angle_gamma 90.00
_space_group_name_H-M_alt 'I m m m'
_space_group_IT_number 71
_space_group_name_Hall '-I 2 2'
loop_
_atom_site_label
_atom_site_type_symbol
_atom_site_fract_x
_atom_site_fract_y
_atom_site_fract_z
_atom_site_occupancy
Ba1 Ba 0.000 0.000 0.000 1
Os1 Os 0.000 0.500 0.250 1
Cl1 Cl 0.000 0.000 0.500 1
```


4.
BaOsCl2 | GGA-PBE | optimized geometry

As for the raw formation energy: -1.382 eV/f.u. The total energy comes out at -4.557 eV per atom.

Structure (CIF):
```
data_BaOsCl2
_cell_length_a 5.057
_cell_length_b 3.441
_cell_length_c 6.893
_cell_angle_alpha 90.00
_cell_angle_beta 111.42
_cell_angle_gamma 90.00
_space_group_name_H-M_alt 'P 1 m 1'
_space_group_IT_number 6
loop_
_space_group_symop_operation_xyz
'x,y,z'
'x,-y,z'
loop_
_atom_site_label
_atom_site_type_symbol
_atom_site_fract_x
_atom_site_fract_y
_atom_site_fract_z
_atom_site_occupancy
Ba1 Ba 0.000 0.000 0.000 1
Os1 Os 0.598 0.500 0.197 1
Cl1 Cl 0.415 0.500 0.829 1
Cl2 Cl 0.723 0.000 0.447 1
```


5.
BaOs2Cl | GGA-PBE | optimized geometry

As for the raw formation energy: 0.712 eV/f.u. The density of states at the Fermi level comes out at 3.396 states/eV/f.u. The total energy comes out at -6.379 eV per atom.

Structure (CIF):
```
data_BaOs2Cl
_cell_length_a 3.205
_cell_length_b 3.843
_cell_length_c 8.680
_cell_angle_alpha 90.00
_cell_angle_beta 90.00
_cell_angle_gamma 90.00
_space_group_name_H-M_alt 'P m m 2'
_space_group_IT_number 25
loop_
_space_group_symop_operation_xyz
'x,y,z'
'-x,-y,z'
'-x,y,z'
'x,-y,z'
loop_
_atom_site_label
_atom_site_type_symbol
_atom_site_fract_x
_atom_site_fract_y
_atom_site_fract_z
_atom_site_occupancy
Ba1 Ba 0.000 0.000 0.000 1
Os1 Os 0.000 0.000 0.637 1
Os2 Os 0.500 0.500 0.687 1
Cl1 Cl 0.500 0.500 0.198 1
```


6.
BaOs2Cl | GGA-PBE | optimized geometry

As for the raw formation energy: 6.101 eV/f.u. The density of states at the Fermi level comes out at 5.524 states/eV/f.u. The total energy comes out at -5.032 eV per atom.

Structure (CIF):
```
data_BaOs2Cl
_cell_length_a 2.9866
_cell_length_b 2.9866
_cell_length_c 29.8245
_cell_angle_alpha 90.00
_cell_angle_beta 90.00
_cell_angle_gamma 120.00
_space_group_name_H-M_alt 'R -3 m'
_space_group_IT_number 166
_space_group_name_Hall '-R 3 2"'
loop_
_atom_site_label
_atom_site_type_symbol
_atom_site_fract_x
_atom_site_fract_y
_atom_site_fract_z
_atom_site_occupancy
Ba1 Ba 0.0000 0.0000 0.0000 1
Os1 Os 0.0000 0.0000 0.2350 1
Cl1 Cl 0.0000 0.0000 0.5000 1
```


7.
BaOsCl2 | GGA-PBE | optimized geometry

As for the raw formation energy: -0.360 eV/f.u. The density of states at the Fermi level comes out at 1.745 states/eV/f.u. The total energy comes out at -4.301 eV per atom.

Structure (CIF):
```
data_BaOsCl2
_cell_length_a 4.564
_cell_length_b 6.259
_cell_length_c 8.262
_cell_angle_alpha 90.00
_cell_angle_beta 90.00
_cell_angle_gamma 90.00
_space_group_name_H-M_alt 'C m m 2'
_space_group_IT_number 35
loop_
_space_group_symop_operation_xyz
'x,y,z'
'-x,-y,z'
'-x,y,z'
'x,-y,z'
'x+1/2,y+1/2,z'
'-x+1/2,-y+1/2,z'
'-x+1/2,y+1/2,z'
'x+1/2,-y+1/2,z'
loop_
_atom_site_label
_atom_site_type_symbol
_atom_site_fract_x
_atom_site_fract_y
_atom_site_fract_z
_atom_site_occupancy
Ba1 Ba 0.000 0.000 0.000 1
Os1 Os 0.000 0.500 0.302 1
Cl1 Cl 0.000 0.000 0.384 1
Cl2 Cl 0.000 0.500 0.774 1
```


8.
BaOs2Cl | GGA-PBE | optimized geometry

As for the raw formation energy: 1.695 eV/f.u. The density of states at the Fermi level comes out at 3.862 states/eV/f.u. The total energy comes out at -6.133 eV per atom.

Structure (CIF):
```
data_BaOs2Cl
_cell_length_a 3.837
_cell_length_b 6.113
_cell_length_c 8.923
_cell_angle_alpha 90.00
_cell_angle_beta 90.00
_cell_angle_gamma 90.00
_space_group_name_H-M_alt 'I m m 2'
_space_group_IT_number 44
loop_
_space_group_symop_operation_xyz
'x,y,z'
'-x,-y,z'
'-x,y,z'
'x,-y,z'
'x+1/2,y+1/2,z+1/2'
'-x+1/2,-y+1/2,z+1/2'
'-x+1/2,y+1/2,z+1/2'
'x+1/2,-y+1/2,z+1/2'
loop_
_atom_site_label
_atom_site_type_symbol
_atom_site_fract_x
_atom_site_fract_y
_atom_site_fract_z
_atom_site_occupancy
Ba1 Ba 0.000 0.000 0.000 1
Os1 Os 0.000 0.000 0.502 1
Os2 Os 0.000 0.500 0.150 1
Cl1 Cl 0.000 0.500 0.790 1
```


9.
BaOs2Cl | GGA-PBE | optimized geometry

As for the raw formation energy: 3.013 eV/f.u. The density of states at the Fermi level comes out at 2.758 states/eV/f.u. The total energy comes out at -5.804 eV per atom.

Structure (CIF):
```
data_BaOs2Cl
_cell_length_a 5.077
_cell_length_b 5.077
_cell_length_c 15.602
_cell_angle_alpha 90.00
_cell_angle_beta 90.00
_cell_angle_gamma 90.00
_space_group_name_H-M_alt 'I 41/a m d'
_space_group_IT_number 141
loop_
_space_group_symop_operation_xyz
'x,y,z'
'-x,-y,-z'
'-y+1/4,x+3/4,z+1/4'
'y+1/4,-x+3/4,-z+1/4'
'-x+1/2,-y,z+1/2'
'x+1/2,y,-z+1/2'
'y+1/4,-x+1/4,z+3/4'
'-y+1/4,x+1/4,-z+3/4'
'x,-y,-z'
'-x,y,z'
'-y+1/4,-x+1/4,-z+3/4'
'y+1/4,x+1/4,z+3/4'
'-x+1/2,y,-z+1/2'
'x+1/2,-y,z+1/2'
'y+1/4,x+3/4,-z+1/4'
'-y+1/4,-x+3/4,z+1/4'
'x+1/2,y+1/2,z+1/2'
'-x+1/2,-y+1/2,-z+1/2'
'-y+3/4,x+1/4,z+3/4'
'y+3/4,-x+1/4,-z+3/4'
'-x,-y+1/2,z'
'x,y+1/2,-z'
'y+3/4,-x+3/4,z+1/4'
'-y+3/4,x+3/4,-z+1/4'
'x+1/2,-y+1/2,-z+1/2'
'-x+1/2,y+1/2,z+1/2'
'-y+3/4,-x+3/4,-z+1/4'
'y+3/4,x+3/4,z+1/4'
'-x,y+1/2,-z'
'x,-y+1/2,z'
'y+3/4,x+1/4,-z+3/4'
'-y+3/4,-x+1/4,z+3/4'
loop_
_atom_site_label
_atom_site_type_symbol
_atom_site_fract_x
_atom_site_fract_y
_atom_site_fract_z
_atom_site_occupancy
Ba1 Ba 0.000 0.250 0.375 1
Os1 Os 0.000 0.000 0.000 1
Cl1 Cl 0.000 0.250 0.875 1
```


10.
BaOsCl2 | GGA-PBE | optimized geometry

As for the raw formation energy: 0.036 eV/f.u. The density of states at the Fermi level comes out at 1.597 states/eV/f.u. The total energy comes out at -4.202 eV per atom.

Structure (CIF):
```
data_BaOsCl2
_cell_length_a 5.050
_cell_length_b 5.050
_cell_length_c 4.203
_cell_angle_alpha 90.00
_cell_angle_beta 90.00
_cell_angle_gamma 90.00
_space_group_name_H-M_alt 'P 4/m m m'
_space_group_IT_number 123
_space_group_name_Hall '-P 4 2'
loop_
_atom_site_label
_atom_site_type_symbol
_atom_site_fract_x
_atom_site_fract_y
_atom_site_fract_z
_atom_site_occupancy
Ba1 Ba 0.000 0.000 0.000 1
Os1 Os 0.500 0.500 0.000 1
Cl1 Cl 0.000 0.500 0.500 1
```


11.
BaOsCl2 | GGA-PBE | optimized geometry

As for the raw formation energy: -1.327 eV/f.u. The density of states at the Fermi level comes out at 1.321 states/eV/f.u. The total energy comes out at -4.543 eV per atom.

Structure (CIF):
```
data_BaOsCl2
_cell_length_a 5.7267
_cell_length_b 5.7267
_cell_length_c 11.2982
_cell_angle_alpha 90.00
_cell_angle_beta 90.00
_cell_angle_gamma 120.00
_space_group_name_H-M_alt 'R -3 m'
_space_group_IT_number 166
_space_group_name_Hall '-R 3 2"'
loop_
_atom_site_label
_atom_site_type_symbol
_atom_site_fract_x
_atom_site_fract_y
_atom_site_fract_z
_atom_site_occupancy
Ba1 Ba 0.0000 0.0000 0.0000 1
Os1 Os 0.0000 0.0000 0.5000 1
Cl1 Cl 0.0000 0.0000 0.2949 1
```


12.
BaOsCl2 | GGA-PBE | optimized geometry

As for the raw formation energy: 0.338 eV/f.u. The density of states at the Fermi level comes out at 3.577 states/eV/f.u. The total energy comes out at -4.127 eV per atom.

Structure (CIF):
```
data_BaOsCl2
_cell_length_a 3.4798
_cell_length_b 3.4798
_cell_length_c 27.8149
_cell_angle_alpha 90.00
_cell_angle_beta 90.00
_cell_angle_gamma 120.00
_space_group_name_H-M_alt 'R -3 m'
_space_group_IT_number 166
_space_group_name_Hall '-R 3 2"'
loop_
_atom_site_label
_atom_site_type_symbol
_atom_site_fract_x
_atom_site_fract_y
_atom_site_fract_z
_atom_site_occupancy
Ba1 Ba 0.0000 0.0000 0.0000 1
Os1 Os 0.0000 0.0000 0.5000 1
Cl1 Cl 0.0000 0.0000 0.4169 1
```